Arrangement one

Density functional theory data (PBE-GGA) for a relaxed structure of DyY4Er2.

```
DyY4Er2
1.0
-4.082 4.010 3.525
-7.561 1.802 -4.400
-5.879 -4.635 4.870
Dy Y Er
2 8 4
Direct
0.000 0.500 0.000
0.500 0.500 0.000
0.147 0.359 0.346
0.147 0.846 0.859
0.237 0.238 0.738
0.786 0.238 0.738
0.214 0.762 0.262
0.853 0.154 0.141
0.763 0.762 0.262
0.853 0.641 0.654
0.277 0.973 0.473
0.500 0.000 0.000
0.500 0.500 0.500
0.723 0.027 0.527
```

Fermi-level density of states in states/eV/f.u.: 11.88
Total magnetization in μB/atom: 0.00


Arrangement two

Density functional theory data (PBE-GGA) for a relaxed structure of DyY4Er2.

```
DyY4Er2
1.0
-0.659 0.172 -3.474
-4.549 -7.116 4.114
-3.519 7.723 -0.753
Dy Y Er
1 4 2
Direct
0.000 0.000 0.000
0.410 0.707 0.592
0.808 0.168 0.721
0.590 0.293 0.408
0.192 0.832 0.279
0.360 0.430 0.140
0.640 0.570 0.860
```

Fermi-level density of states in states/eV/f.u.: 12.08
Total magnetization in μB/atom: 0.00


Most favorable structure: arrangement two. The second most favorable one is 251 meV per atom above it.


Arrangement one

Density functional theory data (PBE-GGA) for a relaxed structure of DyY12Er6.

```
DyY12Er6
1.0
-3.474 0.495 8.407
-1.999 -8.308 -3.158
9.059 0.331 0.903
Dy Y Er
1 12 6
Direct
0.000 0.000 0.000
0.482 0.191 0.577
0.191 0.577 0.482
0.577 0.482 0.191
0.518 0.809 0.423
0.809 0.423 0.518
0.423 0.518 0.809
0.281 0.137 0.826
0.174 0.719 0.863
0.863 0.174 0.719
0.719 0.863 0.174
0.826 0.281 0.137
0.137 0.826 0.281
0.076 0.185 0.453
0.815 0.547 0.924
0.547 0.924 0.815
0.924 0.815 0.547
0.185 0.453 0.076
0.453 0.076 0.185
```

Fermi-level density of states in states/eV/f.u.: 32.36
Total magnetization in μB/atom: 0.00


Arrangement two

Density functional theory data (PBE-GGA) for a relaxed structure of DyY12Er6.

```
DyY12Er6
1.0
8.445 0.755 0.904
-0.534 8.462 0.904
-0.534 -0.623 8.487
Dy Y Er
1 12 6
Direct
0.000 0.000 0.000
0.777 0.543 0.436
0.436 0.777 0.543
0.543 0.436 0.777
0.223 0.457 0.564
0.564 0.223 0.457
0.457 0.564 0.223
0.011 0.201 0.359
0.799 0.641 0.989
0.641 0.989 0.799
0.989 0.799 0.641
0.201 0.359 0.011
0.359 0.011 0.201
0.744 0.907 0.306
0.694 0.256 0.093
0.093 0.694 0.256
0.256 0.093 0.694
0.306 0.744 0.907
0.907 0.306 0.744
```

Fermi-level density of states in states/eV/f.u.: 35.26
Total magnetization in μB/atom: 0.00


Most favorable structure: arrangement two. The second most favorable one is 107 meV per atom above it.


Arrangement one

Density functional theory data (PBE-GGA) for a relaxed structure of Dy4Y3Er5.

```
Dy4Y3Er5
1.0
5.836 0.000 0.000
2.918 7.489 -2.772
2.918 -0.711 9.087
Dy Y Er
4 3 5
Direct
0.861 0.221 0.058
0.165 0.048 0.621
0.835 0.952 0.379
0.139 0.779 0.942
0.523 0.687 0.267
0.000 0.500 0.500
0.477 0.313 0.733
0.627 0.945 0.800
0.500 0.500 0.500
0.213 0.459 0.114
0.787 0.541 0.886
0.373 0.055 0.200
```

Fermi-level density of states in states/eV/f.u.: 19.96
Total magnetization in μB/atom: 0.05


Arrangement two

Density functional theory data (PBE-GGA) for a relaxed structure of Dy4Y3Er5.

```
Dy4Y3Er5
1.0
-0.708 5.662 -4.180
-7.821 -7.035 3.749
7.012 10.568 1.184
Dy Y Er
4 3 5
Direct
0.916 0.835 0.668
0.832 0.664 0.833
0.168 0.336 0.167
0.084 0.165 0.332
0.584 0.167 0.333
0.000 0.000 0.500
0.416 0.833 0.667
0.332 0.667 0.834
0.500 0.000 0.500
0.750 0.502 0.001
0.250 0.498 0.999
0.668 0.333 0.166
```

Fermi-level density of states in states/eV/f.u.: 16.33
Total magnetization in μB/atom: 0.00


Most favorable structure: arrangement two. The second most favorable one is 230 meV per atom above it.


Arrangement one

Density functional theory data (PBE-GGA) for a relaxed structure of Dy2Y3Er8.

```
Dy2Y3Er8
1.0
5.504 0.000 0.781
0.000 7.549 -0.001
-1.423 -3.776 10.026
Dy Y Er
2 3 8
Direct
0.500 0.241 0.483
0.500 0.759 0.517
0.500 0.000 0.000
0.000 0.284 0.000
0.000 0.716 0.000
0.000 0.667 0.333
0.000 0.333 0.667
0.000 0.134 0.267
0.000 0.866 0.733
0.500 0.603 0.781
0.500 0.178 0.781
0.500 0.822 0.219
0.500 0.397 0.219
```

Fermi-level density of states in states/eV/f.u.: 22.82
Total magnetization in μB/atom: 0.00


Arrangement two

Density functional theory data (PBE-GGA) for a relaxed structure of Dy2Y3Er8.

```
Dy2Y3Er8
1.0
-4.027 2.750 -1.037
-3.477 -6.302 -3.208
-5.133 -9.466 6.764
Dy Y Er
2 3 8
Direct
0.769 0.616 0.538
0.231 0.384 0.462
0.000 0.000 0.000
0.539 0.230 0.078
0.461 0.770 0.922
0.078 0.459 0.155
0.922 0.541 0.845
0.155 0.921 0.309
0.845 0.079 0.691
0.307 0.847 0.615
0.384 0.311 0.768
0.616 0.689 0.232
0.693 0.153 0.385
```

Fermi-level density of states in states/eV/f.u.: 17.09
Total magnetization in μB/atom: 0.00


Most favorable structure: arrangement two. The second most favorable one is 223 meV per atom above it.


Arrangement one

Density functional theory data (PBE-GGA) for a relaxed structure of Dy6Y4Er.

```
Dy6Y4Er
1.0
6.553 0.000 0.000
0.000 6.553 0.000
-3.276 -3.276 8.554
Dy Y Er
6 4 1
Direct
0.857 0.486 0.343
0.486 0.857 0.343
0.514 0.514 0.657
0.000 0.500 0.000
0.143 0.143 0.657
0.500 0.000 0.000
0.047 0.687 0.734
0.953 0.953 0.266
0.687 0.047 0.734
0.313 0.313 0.266
0.500 0.500 0.000
```

Fermi-level density of states in states/eV/f.u.: 14.10
Total magnetization in μB/atom: 0.00


Arrangement two

Density functional theory data (PBE-GGA) for a relaxed structure of Dy6Y4Er.

```
Dy6Y4Er
1.0
-3.024 9.204 -0.792
-3.173 -8.748 2.810
4.975 -5.795 6.013
Dy Y Er
6 4 1
Direct
0.000 0.809 0.451
0.000 0.451 0.809
0.357 0.549 0.549
0.500 0.500 0.000
0.643 0.191 0.191
0.500 0.000 0.500
0.000 0.639 0.013
0.373 0.361 0.361
0.000 0.013 0.639
0.627 0.987 0.987
0.000 0.000 0.000
```

Fermi-level density of states in states/eV/f.u.: 14.57
Total magnetization in μB/atom: 0.00


Most favorable structure: arrangement two. The second most favorable one is 18 meV per atom above it.


Arrangement one

Density functional theory data (PBE-GGA) for a relaxed structure of Dy3Y7Er2.

```
Dy3Y7Er2
1.0
-0.142 3.397 -1.083
1.452 -1.648 -5.358
-19.172 -0.776 0.077
Dy Y Er
3 7 2
Direct
0.500 0.500 0.000
0.000 0.147 0.367
0.000 0.853 0.633
0.500 0.721 0.463
0.500 0.279 0.537
0.000 0.461 0.144
0.000 0.000 0.000
0.000 0.539 0.856
0.500 0.006 0.819
0.500 0.994 0.181
0.500 0.588 0.295
0.500 0.412 0.705
```

Fermi-level density of states in states/eV/f.u.: 16.29
Total magnetization in μB/atom: 0.00


Arrangement two

Density functional theory data (PBE-GGA) for a relaxed structure of Dy3Y7Er2.

```
Dy3Y7Er2
1.0
3.513 0.000 0.000
0.000 6.282 0.749
0.000 2.409 17.745
Dy Y Er
3 7 2
Direct
0.500 0.500 0.000
0.000 0.109 0.342
0.000 0.891 0.658
0.500 0.244 0.502
0.500 0.756 0.498
0.000 0.559 0.166
0.000 0.000 0.000
0.000 0.441 0.834
0.500 0.943 0.831
0.500 0.057 0.169
0.500 0.614 0.327
0.500 0.386 0.673
```

Fermi-level density of states in states/eV/f.u.: 18.62
Total magnetization in μB/atom: 0.00


Most favorable structure: arrangement two. The second most favorable one is 10 meV per atom above it.


Arrangement one

Density functional theory data (PBE-GGA) for a relaxed structure of Dy8YEr2.

```
Dy8YEr2
1.0
5.599 1.833 0.000
2.876 8.583 0.000
1.438 4.292 8.252
Dy Y Er
8 1 2
Direct
0.802 0.097 0.248
0.802 0.345 0.752
0.287 0.446 0.000
0.500 0.796 0.408
0.500 0.204 0.592
0.713 0.554 0.000
0.198 0.655 0.248
0.198 0.903 0.752
0.500 0.000 0.000
0.000 0.311 0.378
0.000 0.689 0.622
```

Fermi-level density of states in states/eV/f.u.: 14.39
Total magnetization in μB/atom: 0.00


Arrangement two

Density functional theory data (PBE-GGA) for a relaxed structure of Dy8YEr2.

```
Dy8YEr2
1.0
5.365 0.158 -0.128
-0.311 7.753 -3.020
0.159 0.929 8.273
Dy Y Er
8 1 2
Direct
0.501 0.304 0.032
0.501 0.032 0.304
0.000 0.339 0.339
0.000 0.255 0.748
0.000 0.748 0.255
0.000 0.667 0.667
0.499 0.974 0.703
0.499 0.703 0.974
0.000 0.004 0.004
0.500 0.623 0.384
0.500 0.384 0.623
```

Fermi-level density of states in states/eV/f.u.: 18.57
Total magnetization in μB/atom: 0.00


Most favorable structure: arrangement one. The second most favorable one is 33 meV per atom above it.


Arrangement one

Density functional theory data (PBE-GGA) for a relaxed structure of Dy12Y2Er5.

```
Dy12Y2Er5
1.0
-3.301 -1.642 5.726
1.262 -7.325 -5.422
9.504 0.826 5.716
Dy Y Er
12 2 5
Direct
0.051 0.103 0.270
0.070 0.617 0.774
0.547 0.617 0.774
0.149 0.774 0.249
0.625 0.774 0.249
0.421 0.843 0.578
0.579 0.157 0.422
0.851 0.226 0.751
0.375 0.226 0.751
0.930 0.383 0.226
0.453 0.383 0.226
0.949 0.897 0.730
0.753 0.000 0.000
0.247 0.000 0.000
0.209 0.419 0.508
0.225 0.450 0.994
0.000 0.000 0.500
0.775 0.550 0.006
0.791 0.581 0.492
```

Fermi-level density of states in states/eV/f.u.: 29.76
Total magnetization in μB/atom: 0.00


Arrangement two

Density functional theory data (PBE-GGA) for a relaxed structure of Dy12Y2Er5.

```
Dy12Y2Er5
1.0
6.956 0.000 0.000
-3.478 10.835 1.231
0.000 1.867 8.361
Dy Y Er
12 2 5
Direct
0.149 0.298 0.920
0.054 0.600 0.795
0.546 0.600 0.795
0.150 0.786 0.386
0.636 0.786 0.386
0.452 0.904 0.691
0.548 0.096 0.309
0.850 0.214 0.614
0.364 0.214 0.614
0.946 0.400 0.205
0.454 0.400 0.205
0.851 0.702 0.080
0.747 0.000 0.000
0.253 0.000 0.000
0.250 0.500 0.505
0.349 0.698 0.095
0.000 0.000 0.500
0.651 0.302 0.905
0.750 0.500 0.495
```

Fermi-level density of states in states/eV/f.u.: 28.08
Total magnetization in μB/atom: 0.00


Most favorable structure: arrangement two. The second most favorable one is 132 meV per atom above it.


Arrangement one

Density functional theory data (PBE-GGA) for a relaxed structure of Dy4Y8Er3.

```
Dy4Y8Er3
1.0
-5.629 -1.511 -3.755
-2.145 -6.571 -0.541
-9.308 -1.284 8.069
Dy Y Er
4 8 3
Direct
0.000 0.000 0.000
0.336 0.336 0.992
0.500 0.500 0.500
0.664 0.664 0.008
0.245 0.245 0.265
0.248 0.750 0.251
0.750 0.750 0.251
0.750 0.248 0.251
0.755 0.755 0.735
0.752 0.250 0.749
0.250 0.250 0.749
0.250 0.752 0.749
0.500 0.000 0.500
0.000 0.000 0.500
0.000 0.500 0.500
```

Fermi-level density of states in states/eV/f.u.: 24.18
Total magnetization in μB/atom: 0.00


Arrangement two

Density functional theory data (PBE-GGA) for a relaxed structure of Dy4Y8Er3.

```
Dy4Y8Er3
1.0
-0.388 5.681 -3.584
-4.515 0.774 8.047
7.842 -0.360 4.910
Dy Y Er
4 8 3
Direct
0.500 0.000 0.000
0.000 0.500 0.000
0.000 0.000 0.000
0.000 0.000 0.500
0.521 0.265 0.265
0.000 0.643 0.357
0.003 0.268 0.268
0.500 0.749 0.251
0.500 0.251 0.749
0.997 0.732 0.732
0.000 0.357 0.643
0.479 0.735 0.735
0.500 0.500 0.000
0.500 0.000 0.500
0.500 0.500 0.500
```

Fermi-level density of states in states/eV/f.u.: 30.73
Total magnetization in μB/atom: 0.03


Most favorable structure: arrangement one. The second most favorable one is 249 meV per atom above it.